Ca2BiWO8: optimized geometry, PBE with a Hubbard U.

Unit cell a=5.140 b=6.689 c=5.141 alpha=90.00 beta=92.91 gamma=90.00
Positions (direct):
Ca  0.000  0.243  0.000
Ca  0.000  0.757  0.000
Bi  0.500  0.500  0.500
W  0.500  0.000  0.500
O  0.214  0.500  0.216
O  0.229  0.000  0.231
O  0.323  0.221  0.678
O  0.323  0.779  0.678
O  0.677  0.221  0.322
O  0.677  0.779  0.322
O  0.771  0.000  0.769
O  0.786  0.500  0.784

## Properties
E   -6.405 eV/atom
M_tot   1.0 μB/f.u.
Symmetry   No. 10
Density   5.654 g/cm³